(w)
The following is a PBE calculation of an optimized crystal structure of YInBi3, from the Alexandria database.

## Properties
ρ ... 7.491 Mg/m³
N(E_F) ... 5.3 states/eV/f.u.
Total magnetic moment ... 0.00 μB/cell

```
data_YInBi3
_chemical_formula_sum 'Y1 In1 Bi3'
_symmetry_space_group_name_H-M 'P m -3 m'
_symmetry_Int_Tables_number 221
_symmetry_space_group_name_Hall '-P 4 2 3'
_cell_length_a 5.6891
_cell_length_b 5.6891
_cell_length_c 5.6891
_cell_angle_alpha 90.00
_cell_angle_beta 90.00
_cell_angle_gamma 90.00
loop_
_atom_site_label
_atom_site_type_symbol
_atom_site_fract_x
_atom_site_fract_y
_atom_site_fract_z
Y1 Y 0.0000 0.0000 0.0000
In1 In 0.5000 0.5000 0.5000
Bi1 Bi 0.0000 0.5000 0.5000
```

***

(x)
The following is a PBE calculation of an optimized crystal structure of YInBi3, from the Alexandria database.

## Properties
ρ ... 6.647 Mg/m³
N(E_F) ... 4.4 states/eV/f.u.
Total magnetic moment ... 0.00 μB/cell

```
data_YInBi3
_chemical_formula_sum 'Y1 In1 Bi3'
_symmetry_space_group_name_H-M 'P m -3 m'
_symmetry_Int_Tables_number 221
_symmetry_space_group_name_Hall '-P 4 2 3'
_cell_length_a 5.9204
_cell_length_b 5.9204
_cell_length_c 5.9204
_cell_angle_alpha 90.00
_cell_angle_beta 90.00
_cell_angle_gamma 90.00
loop_
_atom_site_label
_atom_site_type_symbol
_atom_site_fract_x
_atom_site_fract_y
_atom_site_fract_z
Y1 Y 0.0000 0.0000 0.0000
In1 In 0.5000 0.5000 0.5000
Bi1 Bi 0.0000 0.0000 0.5000
```

***

It turns out (x) is the most stable, with the second structure 21.8 kJ/mol of atoms higher.